(1)
Ti2CuIr: relaxed, PBE-GGA.

```
Ti2CuIr
1.0
-2.831 3.082 -1.300
-4.186 -0.188 1.283
-1.541 2.917 2.884
Ir Cu Ti
1 1 2
Direct
0.250 0.250 0.250
0.750 0.750 0.750
0.000 0.000 0.000
0.500 0.500 0.500
```

calculated total energy	-7.6865	eV per atom
magnetic moment	0.000	μB/f.u.
space-group type	No. 225
formation energy from the elements	-500	meV per atom


(2)
NaCa2CoS: relaxed, PBE-GGA.

```
NaCa2CoS
1.0
-4.229 1.075 3.419
-2.618 -1.787 -2.677
0.780 -4.886 2.500
Na Ca Co S
1 2 1 1
Direct
0.500 0.500 0.500
0.000 0.000 0.500
0.500 0.000 0.000
0.000 0.500 0.000
0.000 0.000 0.000
```

calculated total energy	-3.7077	eV per atom
magnetic moment	0.001	μB/f.u.
ΔE_f (raw)	-0.397	eV per atom
space-group type	No. 123


(3)
Ac3CdPt8: relaxed, PBE-GGA.

```
Ac3CdPt8
1.0
5.600 0.000 0.000
2.800 4.849 0.000
2.800 1.616 9.144
Ac Cd Pt
3 1 8
Direct
0.377 0.377 0.868
0.992 0.992 0.023
0.506 0.506 0.481
0.869 0.869 0.394
0.941 0.437 0.186
0.438 0.938 0.685
0.437 0.437 0.186
0.938 0.938 0.685
0.189 0.189 0.434
0.688 0.688 0.936
0.437 0.941 0.186
0.938 0.438 0.685
```

calculated total energy	-6.0568	eV per atom
magnetic moment	0.000	μB/f.u.
space-group type	No. 160
formation energy from the elements	-926	meV per atom


(4)
PrP3Pd5: relaxed, PBE-GGA.

```
PrP3Pd5
1.0
-0.066 -3.418 1.767
3.206 -0.889 -5.790
10.844 2.680 5.592
Pr P Pd
2 6 10
Direct
0.863 0.727 0.750
0.137 0.273 0.250
0.392 0.783 0.949
0.870 0.740 0.250
0.392 0.783 0.551
0.608 0.217 0.449
0.130 0.260 0.750
0.608 0.217 0.051
0.783 0.566 0.418
0.217 0.434 0.918
0.000 0.000 0.500
0.000 0.000 0.000
0.436 0.871 0.144
0.564 0.129 0.856
0.564 0.129 0.644
0.783 0.566 0.082
0.217 0.434 0.582
0.436 0.871 0.356
```

calculated total energy	-5.8955	eV per atom
magnetic moment	0.000	μB/f.u.
space-group type	No. 63
formation energy from the elements	-676	meV per atom